(a)
Entry from Alexandria via LeMat-Bulk: a relaxed Ag2SnAs crystal (PBE-GGA).

Cell: 4.906 4.906 4.906 Å, 60.00 60.00 60.00°
Fractional positions:
Ag1 0.250 0.250 0.250
Ag2 0.750 0.750 0.750
Sn1 0.000 0.000 0.000
As1 0.500 0.500 0.500

Values from the calculation:
total moment: 0.00 μB per formula unit
crystal system: cubic
SG: Fm-3m


(b)
Entry from Alexandria via LeMat-Bulk: a relaxed Ag2SnAs crystal (PBE-GGA).

Cell: 4.354 4.354 4.330 Å, 90.00 90.00 90.00°
Fractional positions:
Ag1 0.000 0.500 0.000
Ag2 0.500 0.000 0.000
Sn1 0.000 0.000 0.500
As1 0.500 0.500 0.500

Values from the calculation:
total moment: 0.00 μB per formula unit
crystal system: tetragonal
SG: P4/mmm


Tell me which of them is the most stable. Sure, it is (b).


(a)
Entry from Alexandria via LeMat-Bulk: a relaxed Ag2SnAs crystal (PBE-GGA).

Cell: 3.568 3.568 6.541 Å, 90.00 90.00 90.00°
Fractional positions:
Ag1 0.000 0.000 0.227
Ag2 0.000 0.000 0.773
Sn1 0.500 0.500 0.500
As1 0.500 0.500 0.000

Values from the calculation:
total moment: 0.00 μB per formula unit
crystal system: tetragonal
SG: P4/mmm


(b)
Entry from Alexandria via LeMat-Bulk: a relaxed Ag2SnAs crystal (PBE-GGA).

Cell: 10.235 10.235 10.235 Å, 156.28 156.28 33.80°
Fractional positions:
Ag1 0.121 0.625 0.996
Ag2 0.375 0.371 0.496
Ag3 0.629 0.125 0.004
Ag4 0.875 0.879 0.504
Sn1 0.250 0.750 0.500
Sn2 0.500 0.500 0.000
As1 0.000 0.000 0.000
As2 0.750 0.250 0.500

Values from the calculation:
total moment: 0.00 μB per formula unit
crystal system: tetragonal
SG: I-42d


Tell me which of them is the most stable. Sure, it is (b).